A plane-wave DFT calculation with SCAN was carried out for a crystal of Sc2MoBr relaxed with PBEsol.

Cell: 3.5813 4.9674 9.4027 Å, 90.00 90.00 90.00°
With the nearest neighbours (Å) after each atom.
Space group Cmm2 (No. 35)
One atom of each set of equivalent atoms:
Sc  0.0000  0.0000  0.0000 (multiplicity 2)  2 Br 2.64
Sc  0.0000  0.5000  0.2748 (multiplicity 2)  2 Mo 2.69
Mo  0.0000  0.0000  0.4882 (multiplicity 2)  2 Sc 2.69
Br  0.0000  0.5000  0.7942 (multiplicity 2)  2 Sc 2.64

## Properties
Fermi-level density of states = 1.04 states/eV/atom
E = -164.1 eV per cell
formation energy from raw total energies = 195 meV per atom